(1)
Compound: TlBiPd3
Source: Alexandria
Functional: GGA-PBE
Structure: optimized geometry

Cell lengths 5.152, 5.152, 5.152 Å; angles 90.00, 90.00, 90.00 degrees
Positions (direct):
Tl: 0.000 0.000 0.000
Bi: 0.500 0.500 0.500
Pd: 0.000 0.500 0.500
Pd: 0.500 0.000 0.500
Pd: 0.500 0.500 0.000

ΔE to the lowest computed polymorph = 318 kJ/mol of formula units
V = 136.8 Å³/cell
energy of formation = 0.431 eV/atom

=====

(2)
Compound: TlBiPd
Source: Alexandria
Functional: GGA-PBE
Structure: optimized geometry

Cell lengths 6.999, 6.999, 6.999 Å; angles 151.74, 151.74, 40.39 degrees
Positions (direct):
Tl: 0.000 0.000 0.000
Bi: 0.730 0.730 0.000
Pd: 0.350 0.350 0.000

ΔE to the lowest computed polymorph = 18 kJ/mol of formula units
V = 76.7 Å³/cell
energy of formation = -0.119 eV/atom

=====

(3)
Compound: TlBiPd4
Source: Alexandria
Functional: GGA-PBE
Structure: optimized geometry

Cell lengths 5.455, 5.455, 5.455 Å; angles 60.00, 60.00, 60.00 degrees
Positions (direct):
Tl: 0.000 0.000 0.000
Bi: 0.250 0.250 0.250
Pd: 0.125 0.625 0.625
Pd: 0.625 0.125 0.625
Pd: 0.625 0.625 0.125
Pd: 0.625 0.625 0.625

ΔE to the lowest computed polymorph = 60 kJ/mol of formula units
V = 114.8 Å³/cell
energy of formation = -0.080 eV/atom

=====

(4)
Compound: TlBi2Pd4
Source: Alexandria
Functional: GGA-PBE
Structure: optimized geometry

Cell lengths 6.436, 7.467, 7.550 Å; angles 115.01, 108.39, 100.16 degrees
Positions (direct):
Tl: 0.000 0.000 0.000
Tl: 0.313 0.792 0.581
Bi: 0.147 0.579 0.903
Bi: 0.543 0.465 0.696
Bi: 0.586 0.322 0.179
Bi: 0.748 0.958 0.437
Pd: 0.027 0.285 0.424
Pd: 0.191 0.435 0.189
Pd: 0.208 0.174 0.763
Pd: 0.316 0.024 0.368
Pd: 0.570 0.899 0.023
Pd: 0.706 0.192 0.830
Pd: 0.874 0.672 0.579
Pd: 0.877 0.654 0.165

V = 291.0 Å³/cell
energy of formation = -0.192 eV/atom

=====

(5)
Compound: TlBiPd
Source: Alexandria
Functional: GGA-PBE
Structure: optimized geometry

Cell lengths 3.748, 3.748, 6.358 Å; angles 90.00, 90.00, 120.00 degrees
Positions (direct):
Tl: 0.000 0.000 0.000
Bi: 0.667 0.333 0.428
Pd: 0.333 0.667 0.701

ΔE to the lowest computed polymorph = 24 kJ/mol of formula units
V = 77.4 Å³/cell
energy of formation = -0.100 eV/atom

=====

(6)
Compound: TlBi2Pd
Source: Alexandria
Functional: GGA-PBE
Structure: optimized geometry

Cell lengths 4.363, 7.234, 7.496 Å; angles 90.00, 106.66, 90.00 degrees
Positions (direct):
Tl: 0.010 0.250 0.023
Tl: 0.990 0.750 0.977
Bi: 0.343 0.002 0.688
Bi: 0.343 0.498 0.688
Bi: 0.657 0.502 0.312
Bi: 0.657 0.998 0.312
Pd: 0.192 0.750 0.382
Pd: 0.808 0.250 0.618

V = 226.6 Å³/cell
energy of formation = -0.171 eV/atom

=====

(7)
Compound: TlBi5Pd3
Source: Alexandria
Functional: GGA-PBE
Structure: optimized geometry

Cell lengths 7.478, 7.478, 10.904 Å; angles 114.14, 114.14, 78.19 degrees
Positions (direct):
Tl: 0.237 0.237 0.277
Tl: 0.763 0.763 0.723
Bi: 0.182 0.182 0.630
Bi: 0.184 0.648 0.602
Bi: 0.251 0.251 0.986
Bi: 0.300 0.700 0.000
Bi: 0.352 0.816 0.398
Bi: 0.648 0.184 0.602
Bi: 0.700 0.300 0.000
Bi: 0.749 0.749 0.014
Bi: 0.816 0.352 0.398
Bi: 0.818 0.818 0.370
Pd: 0.000 0.000 0.000
Pd: 0.008 0.008 0.729
Pd: 0.466 0.466 0.785
Pd: 0.500 0.500 0.500
Pd: 0.534 0.534 0.215
Pd: 0.992 0.992 0.271

V = 507.3 Å³/cell
energy of formation = -0.093 eV/atom

=====

(8)
Compound: Tl3BiPd3
Source: Alexandria
Functional: GGA-PBE
Structure: optimized geometry

Cell lengths 7.121, 7.121, 6.791 Å; angles 102.26, 102.26, 80.05 degrees
Positions (direct):
Tl: 0.193 0.807 0.000
Tl: 0.304 0.696 0.500
Tl: 0.333 0.333 0.018
Tl: 0.667 0.667 0.982
Tl: 0.696 0.304 0.500
Tl: 0.807 0.193 0.000
Bi: 0.209 0.209 0.447
Bi: 0.791 0.791 0.553
Pd: 0.007 0.511 0.226
Pd: 0.061 0.061 0.719
Pd: 0.489 0.993 0.774
Pd: 0.511 0.007 0.226
Pd: 0.939 0.939 0.281
Pd: 0.993 0.489 0.774

V = 325.9 Å³/cell
energy of formation = -0.116 eV/atom